Model a:
DFT (PBEsol) results for a relaxed ScFeSb2 crystal.

Cell and atoms, written as POSCAR:
```
ScFeSb2
1.0
4.7774 0.0000 0.0000
2.3887 4.1373 0.0000
2.3887 1.3791 3.9007
Sb Sc Fe
2 1 1
Cartesian
7.1661 4.1373 2.9255
2.3887 1.3791 0.9752
0.0000 0.0000 0.0000
4.7774 2.7582 1.9504
```

Calculated values
Calculated density (kg/m3): 7416
Size of the total moment (μB/cell): 1.77



Model b:
DFT (PBEsol) results for a relaxed ScFeSb2 crystal.

Cell and atoms, written as POSCAR:
```
ScFeSb2
1.0
-3.0825 1.7496 -2.5540
-2.1990 -3.7743 0.0684
-1.9539 3.8247 8.7147
Sb Sc Fe
4 2 2
Cartesian
-2.0668 2.7165 6.2235
-4.8252 1.5020 4.9844
-3.4860 -1.7371 1.3492
-4.0928 1.1185 -0.0988
-2.6407 -1.0124 -1.2428
-3.8386 2.2810 2.4590
0.0000 0.0000 0.0000
-3.3968 -0.4810 3.7702
```

Calculated values
Calculated density (kg/m3): 6504
Size of the total moment (μB/cell): 3.24



How do the structures above rank in stability at the extremes? model a comes first and model b comes last.